Entry 1:
Compound: PtW3
Source: Alexandria
Functional: SCAN
Structure: PBEsol geometry

The structure in POSCAR format:
```
PtW3
1.0
2.690 0.000 0.000
0.000 2.690 0.000
0.000 0.000 8.576
W Pt
3 1
direct
0.500 0.500 0.759 W
0.000 0.000 0.500 W
0.500 0.500 0.241 W
0.000 0.000 0.000 Pt
```

## Properties
ΔE_f	0.04	eV per atom
E_tot	-69.78	eV/atom
D(E_F)	2.074	states/eV/cell

***

Entry 2:
Compound: CuMo2Pt
Source: Alexandria
Functional: SCAN
Structure: PBEsol geometry

The structure in POSCAR format:
```
CuMo2Pt
1.0
3.650 0.000 0.000
0.000 3.721 0.000
-1.825 -1.861 4.161
Mo Cu Pt
2 1 1
direct
0.751 0.751 0.502 Mo
0.249 0.249 0.498 Mo
0.500 0.000 0.000 Cu
0.000 0.500 0.000 Pt
```

## Properties
ΔE_f	-0.07	eV per atom
E_tot	-38.87	eV/atom
D(E_F)	3.731	states/eV/cell

***

Entry 3:
Compound: SrZn2Ru
Source: Alexandria
Functional: SCAN
Structure: PBEsol geometry

The structure in POSCAR format:
```
SrZn2Ru
1.0
-1.475 -2.950 1.048
0.451 -1.819 -4.485
4.566 0.739 2.793
Sr Ru Zn
1 1 2
direct
0.000 0.500 0.000 Sr
0.500 0.000 0.000 Ru
0.209 0.209 0.419 Zn
0.791 0.791 0.581 Zn
```

## Properties
ΔE_f	0.20	eV per atom
E_tot	-20.84	eV/atom
D(E_F)	0.887	states/eV/cell

***

Entry 4:
Compound: MgGa2Pt2
Source: Alexandria
Functional: SCAN
Structure: PBEsol geometry

The structure in POSCAR format:
```
MgGa2Pt2
1.0
3.119 0.000 0.000
0.000 7.146 0.000
0.000 0.000 7.146
Pt Mg Ga
4 2 4
direct
0.000 0.646 0.146 Pt
0.000 0.354 0.854 Pt
0.000 0.146 0.354 Pt
0.000 0.854 0.646 Pt
0.000 0.000 0.000 Mg
0.000 0.500 0.500 Mg
0.500 0.152 0.652 Ga
0.500 0.348 0.152 Ga
0.500 0.652 0.848 Ga
0.500 0.848 0.348 Ga
```

## Properties
ΔE_f	-0.69	eV per atom
E_tot	-36.30	eV/atom
D(E_F)	2.119	states/eV/cell